No. 1
Entry from OQMD: an optimized crystal structure of YNbFeGe (PBE).

```
4
Lattice="-3.585 -0.191 2.913 -4.195 1.339 -1.407 -3.334 -3.138 -0.640" Properties=species:S:1:pos:R:3 pbc="T T T"
Nb -5.557 -0.995 0.433
Ge 0.000 0.000 0.000
Y -2.779 -0.497 0.216
Fe -8.336 -1.492 0.649
```

Properties
space-group type: F-43m
E_tot: -7.0746 eV per atom
crystal system: cubic

=====

No. 2
Entry from OQMD: an optimized crystal structure of Nb2BS (PBE).

```
8
Lattice="3.367 0.000 0.000 -1.683 2.916 0.000 0.000 0.000 11.666" Properties=species:S:1:pos:R:3 pbc="T T T"
Nb 1.683 0.972 7.012
Nb 0.000 1.944 1.179
Nb 0.000 1.944 4.654
Nb 1.683 0.972 10.487
S 0.000 1.944 8.749
S 1.683 0.972 2.916
B 0.000 0.000 0.000
B 0.000 0.000 5.833
```

Properties
space-group type: P6_3/mmc
E_tot: -8.6215 eV per atom
crystal system: hexagonal

=====

No. 3
Entry from OQMD: an optimized crystal structure of MgNbCoGe (PBE).

```
4
Lattice="3.712 -0.739 2.243 -0.080 -0.153 4.396 0.588 -3.833 2.078" Properties=species:S:1:pos:R:3 pbc="T T T"
Ge 0.000 0.000 0.000
Nb 2.110 -2.363 4.359
Mg 1.055 -1.181 2.179
Co 3.165 -3.544 6.538
```

Properties
space-group type: F-43m
E_tot: -5.6180 eV per atom
crystal system: cubic

=====

No. 4
Entry from OQMD: an optimized crystal structure of GdEr2Tm3Te2Os (PBE).

```
9
Lattice="4.039 0.000 0.000 0.000 7.055 4.156 0.000 -7.055 4.156" Properties=species:S:1:pos:R:3 pbc="T T T"
Te 2.020 -2.362 4.147
Te 2.020 2.362 4.147
Tm 2.020 1.656 7.315
Tm 2.020 0.000 1.993
Tm 2.020 -1.656 7.315
Er 0.000 4.331 5.759
Er 0.000 -4.331 5.759
Gd 0.000 0.000 5.019
Os 0.000 0.000 0.102
```

Properties
space-group type: Amm2
E_tot: -5.7020 eV per atom
crystal system: orthorhombic

=====

No. 5
Entry from OQMD: an optimized crystal structure of NbInFeHg (PBE).

```
4
Lattice="3.863 -2.290 1.336 -0.140 -4.634 0.674 2.176 -2.870 -2.997" Properties=species:S:1:pos:R:3 pbc="T T T"
In 0.000 0.000 0.000
Fe 4.425 -7.346 -0.740
Hg 1.475 -2.449 -0.247
Nb 2.950 -4.897 -0.493
```

Properties
space-group type: F-43m
E_tot: -4.9585 eV per atom
crystal system: cubic

=====

No. 6
Entry from OQMD: an optimized crystal structure of PrNdLu (PBE).

```
3
Lattice="0.000 3.879 3.879 3.879 0.000 3.879 3.879 3.879 0.000" Properties=species:S:1:pos:R:3 pbc="T T T"
Pr 0.000 0.000 0.000
Nd 5.818 5.818 5.818
Lu 1.939 1.939 1.939
```

Properties
space-group type: F-43m
energy relative to the elements: 0.75 eV/atom
E_tot: -3.9397 eV per atom
crystal system: cubic